A geometry-optimized KRe2SiOs structure, computed with PBE.

Unit cell a=4.4921 b=4.4921 c=4.9185 alpha=90.00 beta=90.00 gamma=90.00
Space group P4/mmm (No. 123)
Inequivalent atoms, fractional coordinates:
K: 0.0000 0.0000 0.0000 (multiplicity 1)
Re: 0.0000 0.5000 0.5000 (multiplicity 2)
Si: 0.0000 0.0000 0.5000 (multiplicity 1)
Os: 0.5000 0.5000 0.0000 (multiplicity 1)

raw formation energy: 2.20 eV per atom
M_tot: 1.781 μB per formula unit

=====

A geometry-optimized KSrReOs2 structure, computed with PBE.

Unit cell a=5.1992 b=5.1992 c=5.6244 alpha=90.00 beta=90.00 gamma=90.00
Space group P4/mmm (No. 123)
Inequivalent atoms, fractional coordinates:
K: 0.0000 0.0000 0.0000 (multiplicity 1)
Sr: 0.5000 0.5000 0.5000 (multiplicity 1)
Re: 0.5000 0.5000 0.0000 (multiplicity 1)
Os: 0.0000 0.5000 0.5000 (multiplicity 2)

calculated formation energy: 1630 kJ/mol of formula units
M_tot: 7.552 μB per formula unit

=====

A geometry-optimized KRe2TcOs structure, computed with PBE.

Unit cell a=4.7401 b=4.7401 c=5.3476 alpha=90.00 beta=90.00 gamma=90.00
Space group P4/mmm (No. 123)
Inequivalent atoms, fractional coordinates:
K: 0.0000 0.0000 0.0000 (multiplicity 1)
Re: 0.0000 0.5000 0.5000 (multiplicity 2)
Tc: 0.5000 0.5000 0.0000 (multiplicity 1)
Os: 0.0000 0.0000 0.5000 (multiplicity 1)

calculated formation energy: 1248 kJ/mol of formula units
M_tot: 3.167 μB per formula unit

=====

A geometry-optimized KOsRh structure, computed with PBE.

Unit cell a=2.8460 b=2.8460 c=14.5713 alpha=90.00 beta=90.00 gamma=90.00
Space group I4mm (No. 107)
Inequivalent atoms, fractional coordinates:
K: 0.0000 0.0000 0.0000 (multiplicity 2)
Os: 0.0000 0.0000 0.3021 (multiplicity 2)
Rh: 0.0000 0.0000 0.6919 (multiplicity 2)

calculated formation energy: 228 kJ/mol of formula units
M_tot: 0.000 μB per formula unit
polymorph energy (0 for the lowest one): 273 meV/atom